# VSnSb2

A geometry-optimized VSnSb2 structure (PBE, Alexandria).

## Properties
ΔE_f (raw) = 0.0922 eV per atom
ρ = 7.5 g/cm3

Geometry as POSCAR:
```
VSnSb2
1.0
-2.2362 -2.3894 0.8263
-0.6158 -0.5552 -3.2718
5.8560 -5.5368 -0.1627
Sb V Sn
2 1 1
direct
0.0000 0.0000 0.1963
0.0000 0.0000 0.8037
0.5000 0.5000 0.0000
0.5000 0.5000 0.5000
```


# Ba3Na9Cd2

A geometry-optimized Ba3Na9Cd2 structure (PBE, Alexandria).

## Properties
Formation enthalpy at 0 K = -38 meV/atom
ρ = 2.5 g/cm3

Geometry as POSCAR:
```
Ba3Na9Cd2
1.0
-3.2862 -0.7009 4.6193
-4.3039 -9.3562 -0.9497
5.3042 -6.1890 6.3660
Na Ba Cd
9 3 2
direct
0.0000 0.5000 0.5000
0.6612 0.9813 0.6964
0.3388 0.0187 0.3036
0.1221 0.5990 0.1568
0.8779 0.4010 0.8432
0.6612 0.6964 0.9813
0.3388 0.3036 0.0187
0.8779 0.8432 0.4010
0.1221 0.1568 0.5990
0.3147 0.6853 0.6853
0.0000 0.0000 0.0000
0.6853 0.3147 0.3147
0.5000 0.3162 0.6838
0.5000 0.6838 0.3162
```


# Zn4Ir

A geometry-optimized Zn4Ir structure (PBE, Alexandria).

## Properties
Formation enthalpy at 0 K = 325 meV/atom
ρ = 6.7 g/cm3

Geometry as POSCAR:
```
Zn4Ir
1.0
-4.4812 0.5598 -1.7054
-0.3990 -4.7825 -0.5214
-1.7500 -0.3430 4.4859
Zn Ir
4 1
direct
0.0000 0.5000 0.5000
0.0000 0.0000 0.0000
0.5000 0.0000 0.5000
0.5000 0.5000 0.0000
0.5000 0.5000 0.5000
```


# GdCuAu

A geometry-optimized GdCuAu structure (PBE, Alexandria).

## Properties
Formation enthalpy at 0 K = -546 meV/atom
ρ = 11.1 g/cm3
Relative energy among the computed polymorphs = 0.0000 eV/atom

Geometry as POSCAR:
```
GdCuAu
1.0
-1.3926 0.1081 -3.2496
-3.5127 -2.4569 1.4236
-0.1608 4.5087 0.2189
Gd Au Cu
1 1 1
direct
0.6666 0.6667 0.3333
0.1665 0.3333 0.6667
0.1669 0.0000 0.0000
```


# TlGeO

A geometry-optimized TlGeO structure (PBE, Alexandria).

## Properties
ΔE_f (raw) = -0.5639 eV per atom
ρ = 6.5 g/cm3
Relative energy among the computed polymorphs = 0.0296 eV/atom

Geometry as POSCAR:
```
TlGeO
1.0
3.0192 0.0000 0.1487
0.0000 8.2957 0.0000
-2.6372 0.0000 5.8608
Ge Tl O
2 2 2
direct
0.0000 0.0095 0.0000
0.0000 0.5095 0.5000
0.5000 0.0676 0.5000
0.5000 0.5676 0.0000
0.5000 0.3668 0.5000
0.5000 0.8668 0.0000
```


# Cs3CaTl3Br8

A geometry-optimized Cs3CaTl3Br8 structure (PBE, Alexandria).

## Properties
ΔE_f (raw) = -1.4723 eV per atom
ρ = 4.1 g/cm3

Geometry as POSCAR:
```
Cs3CaTl3Br8
1.0
-5.0844 5.3787 -6.2376
3.2941 -8.7039 -2.6805
-7.5633 0.5018 6.5977
Br Cs Tl Ca
8 3 3 1
direct
0.2572 0.5145 0.2720
0.2244 0.0124 0.3004
0.2120 0.9876 0.6996
0.7879 0.5757 0.3001
0.7428 0.4855 0.7280
0.7880 0.0124 0.3004
0.2121 0.4243 0.6999
0.7756 0.9876 0.6996
0.0000 0.0000 0.0000
0.5000 0.5000 0.0000
0.0000 0.5000 0.0000
0.0000 0.5000 0.5000
0.5000 0.0000 0.5000
0.5000 0.5000 0.5000
0.0000 0.0000 0.5000
```


# Pr3GaAs2Rh8

A geometry-optimized Pr3GaAs2Rh8 structure (PBE, Alexandria).

## Properties
Formation enthalpy at 0 K = -582 meV/atom
ρ = 9.5 g/cm3

Geometry as POSCAR:
```
Pr3GaAs2Rh8
1.0
-5.3842 -0.0339 -1.1067
3.2177 -4.0411 -1.8793
-1.6413 -5.0929 8.1409
Rh As Pr Ga
8 2 3 1
direct
0.8376 0.6752 0.7202
0.3333 0.6667 0.8506
0.3248 0.1624 0.7202
0.6667 0.3333 0.1494
0.1624 0.3248 0.2798
0.6752 0.8376 0.2798
0.1624 0.8376 0.2798
0.8376 0.1624 0.7202
0.6667 0.3333 0.9053
0.3333 0.6667 0.0947
0.0000 0.0000 0.0000
0.3333 0.6667 0.5629
0.6667 0.3333 0.4371
0.0000 0.0000 0.5000
```


# NbCrB

A geometry-optimized NbCrB structure (PBE, Alexandria).

## Properties
Formation enthalpy at 0 K = -90 meV/atom
ρ = 6.8 g/cm3
Relative energy among the computed polymorphs = 0.3578 eV/atom

Geometry as POSCAR:
```
NbCrB
1.0
9.2063 0.0000 0.0004
0.0000 3.0621 0.0000
-0.3666 0.0000 5.3815
B Nb Cr
4 4 4
direct
0.0000 0.2685 0.0000
0.5000 0.5948 0.5000
0.5000 0.0948 0.0000
0.0000 0.7685 0.5000
0.1468 0.7689 0.8505
0.8532 0.2689 0.6495
0.8532 0.7689 0.1495
0.1468 0.2689 0.3505
0.3846 0.0963 0.6530
0.3846 0.5963 0.1530
0.6154 0.0963 0.3470
0.6154 0.5963 0.8470
```


Please write out number 7 again, unchanged.
# Pr3GaAs2Rh8

A geometry-optimized Pr3GaAs2Rh8 structure (PBE, Alexandria).

## Properties
Formation enthalpy at 0 K = -582 meV/atom
ρ = 9.5 g/cm3

Geometry as POSCAR:
```
Pr3GaAs2Rh8
1.0
-5.3842 -0.0339 -1.1067
3.2177 -4.0411 -1.8793
-1.6413 -5.0929 8.1409
Rh As Pr Ga
8 2 3 1
direct
0.8376 0.6752 0.7202
0.3333 0.6667 0.8506
0.3248 0.1624 0.7202
0.6667 0.3333 0.1494
0.1624 0.3248 0.2798
0.6752 0.8376 0.2798
0.1624 0.8376 0.2798
0.8376 0.1624 0.7202
0.6667 0.3333 0.9053
0.3333 0.6667 0.0947
0.0000 0.0000 0.0000
0.3333 0.6667 0.5629
0.6667 0.3333 0.4371
0.0000 0.0000 0.5000
```


What did the sixth record say?
# Cs3CaTl3Br8

A geometry-optimized Cs3CaTl3Br8 structure (PBE, Alexandria).

## Properties
ΔE_f (raw) = -1.4723 eV per atom
ρ = 4.1 g/cm3

Geometry as POSCAR:
```
Cs3CaTl3Br8
1.0
-5.0844 5.3787 -6.2376
3.2941 -8.7039 -2.6805
-7.5633 0.5018 6.5977
Br Cs Tl Ca
8 3 3 1
direct
0.2572 0.5145 0.2720
0.2244 0.0124 0.3004
0.2120 0.9876 0.6996
0.7879 0.5757 0.3001
0.7428 0.4855 0.7280
0.7880 0.0124 0.3004
0.2121 0.4243 0.6999
0.7756 0.9876 0.6996
0.0000 0.0000 0.0000
0.5000 0.5000 0.0000
0.0000 0.5000 0.0000
0.0000 0.5000 0.5000
0.5000 0.0000 0.5000
0.5000 0.5000 0.5000
0.0000 0.0000 0.5000
```


Look up the ρ of the sixth one. 4.1 g/cm3